DFT (PBE) results for a relaxed structure of BeGeMoS2.

Values from the calculation:
Raw total energy: -4.06 eV/atom
M_tot: 0.67 μB/atom
Crystal system: tetragonal

```
BeGeMoS2
1.0
-3.046 -3.488 0.841
1.064 0.244 4.866
-3.444 3.151 0.595
S Be Mo Ge
2 1 1 1
direct
0.000 0.000 0.500 S
0.500 0.000 0.000 S
0.500 0.500 0.500 Be
0.000 0.500 0.000 Mo
0.000 0.000 0.000 Ge
```

---

DFT (PBE) results for a relaxed structure of PmThPb.

Values from the calculation:
Offset from the most stable computed form: 32.4 kJ per mole of atoms
Raw total energy: -5.34 eV/atom
Formation enthalpy at 0 K: -44 meV per atom
M_tot: 0.00 μB/atom
Crystal system: trigonal

```
PmThPb
1.0
3.608 0.000 0.000
0.000 5.534 0.000
0.000 -2.767 4.792
Pb Th Pm
1 1 1
direct
0.023 0.000 0.000 Pb
0.722 0.333 0.667 Th
0.255 0.667 0.333 Pm
```

---

DFT (PBE) results for a relaxed structure of LiCa2CdN.

Values from the calculation:
Offset from the most stable computed form: 138.5 kJ per mole of atoms
Raw total energy: -2.03 eV/atom
M_tot: 0.00 μB/atom
Crystal system: tetragonal

```
LiCa2CdN
1.0
5.759 0.000 0.000
0.000 4.629 0.000
0.000 0.000 5.759
Ca N Li Cd
2 1 1 1
direct
0.000 0.000 0.500 Ca
0.500 0.000 0.000 Ca
0.500 0.500 0.500 N
0.000 0.500 0.000 Li
0.000 0.000 0.000 Cd
```

---

- What is the raw total energy in the first record?
  -4.06 eV/atom

---

- Which formula does entry 1 have?
  BeGeMoS2